Below is a relaxed structure of PaTlMo2O8, with properties calculated at the GGA+U level.

```
PaTlMo2O8
1.0
-1.373 5.193 -2.864
2.013 -4.787 -3.176
-7.314 -2.452 -0.941
Pa Tl Mo O
1 1 2 8
Cartesian
0.000 0.000 0.000 Pa
-3.657 -1.226 -0.470 Tl
-4.552 -3.283 -3.771 Mo
-2.121 1.237 -3.209 Mo
-5.639 -2.766 -2.312 O
-4.628 -5.169 -3.906 O
-5.317 -2.562 -5.344 O
-1.356 0.516 -1.637 O
-3.778 0.682 -3.422 O
-2.896 -2.728 -3.558 O
-1.034 0.720 -4.669 O
-2.045 3.123 -3.074 O
```

Properties
- Calculated total energy: -7.435 eV per atom
- V: 20.78 A^3/atom
- SG: P-3m1
- D(E_F): 0.65 states/eV per atom